1.
Computed, not measured: Ba2ScCoPd after structural relaxation at the GGA-PBE level of DFT.

The structure in POSCAR format:
```
Ba2ScCoPd
1.0
6.3678 0.0000 0.0000
0.0000 6.3678 0.0000
0.0000 0.0000 4.2390
Ba Sc Co Pd
2 1 1 1
direct
0.0000 0.5000 0.0000 Ba
0.5000 0.0000 0.0000 Ba
0.0000 0.0000 0.0000 Sc
0.0000 0.0000 0.5000 Co
0.5000 0.5000 0.5000 Pd
```

Calculated values
- Volume: 171.9 Å³/cell
- N(E_F): 4.46 states/eV per cell
- Mass density: 4.685 g/cm3
- Electronic total energy: -3.87 eV/atom

=====

2.
Computed, not measured: BaCo2SnPd after structural relaxation at the GGA-PBE level of DFT.

The structure in POSCAR format:
```
BaCo2SnPd
1.0
4.8101 0.0000 0.0000
0.0000 4.8101 0.0000
0.0000 0.0000 6.1279
Ba Co Sn Pd
1 2 1 1
direct
0.0000 0.0000 0.0000 Ba
0.0000 0.5000 0.0000 Co
0.5000 0.0000 0.0000 Co
0.0000 0.0000 0.5000 Sn
0.5000 0.5000 0.5000 Pd
```

Calculated values
- Volume: 141.8 Å³/cell
- N(E_F): 5.97 states/eV per cell
- Mass density: 5.626 g/cm3
- Electronic total energy: -3.12 eV/atom

=====

3.
Computed, not measured: BaCoTc2Pd after structural relaxation at the GGA-PBE level of DFT.

The structure in POSCAR format:
```
BaCoTc2Pd
1.0
5.0046 0.0000 0.0000
0.0000 5.0046 0.0000
0.0000 0.0000 4.7732
Ba Co Tc Pd
1 1 2 1
direct
0.0000 0.0000 0.0000 Ba
0.5000 0.5000 0.0000 Co
0.0000 0.5000 0.5000 Tc
0.5000 0.0000 0.5000 Tc
0.5000 0.5000 0.5000 Pd
```

Calculated values
- Volume: 119.5 Å³/cell
- N(E_F): 5.74 states/eV per cell
- Mass density: 6.927 g/cm3
- Electronic total energy: -5.64 eV/atom

=====

Magnetic moment for every record listed, in sequence, given in μB per cell: 0.0; 2.3; 7.7.